## Mg2Cu2Hg (GGA-PBEsol)

Data for a relaxed structure of Mg2Cu2Hg.

Cell and atoms, written as POSCAR:
```
Mg2Cu2Hg
1.0
3.389 0.000 0.000
0.000 6.957 0.000
0.000 0.000 6.957
Mg Cu Hg
4 4 2
direct
0.500 0.168 0.668
0.500 0.832 0.332
0.500 0.332 0.168
0.500 0.668 0.832
0.000 0.375 0.875
0.000 0.875 0.625
0.000 0.125 0.375
0.000 0.625 0.125
0.000 0.500 0.500
0.000 0.000 0.000
```

Results
volume: 164 Å³ per cell
E_tot: -2.642 eV per atom